Ag2PH, relaxed, DFT PBE; calculated total energy = -2.9555 eV/atom; magnetization = 0.32 μB/cell
1.0
0.000 3.067 3.067
3.067 0.000 3.067
3.067 3.067 0.000
Ag P H
2 1 1
Cartesian
1.533 1.533 1.533
4.600 4.600 4.600
0.000 0.000 0.000
3.067 3.067 3.067

Li2HgAu5, relaxed, DFT PBE; formation energy from the elements = -0.3133 eV per atom; magnetization = 0.00 μB/cell
1.0
4.867 0.000 0.000
0.000 11.253 0.000
-0.009 0.000 10.249
Li Hg Au
8 4 20
Cartesian
1.208 1.478 4.165
1.203 4.149 9.289
1.211 6.975 4.287
1.206 9.905 9.412
3.651 1.348 0.837
3.647 4.279 5.961
3.654 7.104 0.960
3.650 9.776 6.084
1.225 6.996 9.471
1.230 9.884 4.346
3.628 1.369 5.902
3.632 4.258 0.778
1.201 0.021 1.655
1.196 5.606 6.779
1.203 8.438 1.741
1.198 8.442 6.866
1.207 2.800 1.687
1.202 2.826 6.811
1.208 5.651 1.784
1.204 11.229 6.908
1.235 1.440 9.425
1.239 4.187 4.300
3.618 7.066 5.948
3.623 9.814 0.824
3.654 0.024 3.341
3.649 5.603 8.465
3.655 8.427 3.438
3.650 8.453 8.562
3.660 2.812 3.383
3.655 2.815 8.508
3.661 5.648 3.470
3.657 11.232 8.594

Q: The lowest magnetization belongs to which entry?
A: Li2HgAu5

Q: Look up the magnetization of the first one.
A: 0.32 μB/cell

Q: Which value of magnetization does entry 2 give?
A: 0.00 μB/cell

Q: Which value of magnetization does entry 2 give?
A: 0.00 μB/cell